# 1
# DyHo4Bi | Alexandria via LeMat-Bulk | PBE | optimized geometry
# - Calculated formation energy: 0.22 eV/atom
data_DyHo4Bi
_cell_length_a 5.173
_cell_length_b 5.173
_cell_length_c 7.796
_cell_angle_alpha 90.00
_cell_angle_beta 90.00
_cell_angle_gamma 90.00
_symmetry_space_group_name_H-M 'P 4/m m m'
_symmetry_Int_Tables_number 123
_symmetry_space_group_name_Hall '-P 4 2'
loop_
_atom_site_label
_atom_site_type_symbol
_atom_site_fract_x
_atom_site_fract_y
_atom_site_fract_z
Dy1 Dy 0.000 0.000 0.000
Ho1 Ho 0.000 0.500 0.243
Bi1 Bi 0.500 0.500 0.500

---

# 2
# Dy5HoBi6 | Alexandria via LeMat-Bulk | PBE | optimized geometry
# - Calculated formation energy: -0.86 eV/atom
data_Dy5HoBi6
_cell_length_a 7.744
_cell_length_b 13.412
_cell_length_c 7.742
_cell_angle_alpha 90.00
_cell_angle_beta 109.47
_cell_angle_gamma 90.00
_symmetry_space_group_name_H-M 'C 1 2/m 1'
_symmetry_Int_Tables_number 12
_symmetry_space_group_name_Hall '-C 2y'
loop_
_atom_site_label
_atom_site_type_symbol
_atom_site_fract_x
_atom_site_fract_y
_atom_site_fract_z
Dy1 Dy 0.000 0.000 0.000
Dy2 Dy 0.000 0.167 0.500
Dy3 Dy 0.000 0.333 0.000
Ho1 Ho 0.000 0.500 0.500
Bi1 Bi 0.249 0.500 0.250
Bi2 Bi 0.250 0.166 0.250

---

# 3
# Dy2HoBi | Alexandria via LeMat-Bulk | PBE | optimized geometry
# - Calculated formation energy: -0.19 eV/atom
data_Dy2HoBi
_cell_length_a 3.6418
_cell_length_b 3.6418
_cell_length_c 32.2601
_cell_angle_alpha 90.00
_cell_angle_beta 90.00
_cell_angle_gamma 120.00
_symmetry_space_group_name_H-M 'R 3 m'
_symmetry_Int_Tables_number 160
_symmetry_space_group_name_Hall 'R 3 -2"'
loop_
_atom_site_label
_atom_site_type_symbol
_atom_site_fract_x
_atom_site_fract_y
_atom_site_fract_z
Dy1 Dy 0.0000 0.0000 0.0000
Dy2 Dy 0.0000 0.0000 0.1723
Ho1 Ho 0.0000 0.0000 0.4192
Bi1 Bi 0.0000 0.0000 0.5860

---

# 4
# Dy2HoBi3 | Alexandria via LeMat-Bulk | PBE | optimized geometry
# - Calculated formation energy: -0.85 eV/atom
data_Dy2HoBi3
_cell_length_a 4.469
_cell_length_b 6.314
_cell_length_c 13.406
_cell_angle_alpha 90.00
_cell_angle_beta 90.00
_cell_angle_gamma 90.00
_symmetry_space_group_name_H-M 'I m m m'
_symmetry_Int_Tables_number 71
_symmetry_space_group_name_Hall '-I 2 2'
loop_
_atom_site_label
_atom_site_type_symbol
_atom_site_fract_x
_atom_site_fract_y
_atom_site_fract_z
Dy1 Dy 0.000 0.000 0.167
Ho1 Ho 0.000 0.000 0.500
Bi1 Bi 0.000 0.500 0.166
Bi2 Bi 0.000 0.500 0.500

---

# 5
# Dy2HoBi | Alexandria via LeMat-Bulk | PBE | optimized geometry
# - Calculated formation energy: 0.02 eV/atom
data_Dy2HoBi
_cell_length_a 3.5293
_cell_length_b 3.5293
_cell_length_c 35.9797
_cell_angle_alpha 90.00
_cell_angle_beta 90.00
_cell_angle_gamma 120.00
_symmetry_space_group_name_H-M 'R -3 m'
_symmetry_Int_Tables_number 166
_symmetry_space_group_name_Hall '-R 3 2"'
loop_
_atom_site_label
_atom_site_type_symbol
_atom_site_fract_x
_atom_site_fract_y
_atom_site_fract_z
Dy1 Dy 0.0000 0.0000 0.0878
Ho1 Ho 0.0000 0.0000 0.5000
Bi1 Bi 0.0000 0.0000 0.0000

---

# 6
# DyHo5Bi6 | Alexandria via LeMat-Bulk | PBE | optimized geometry
# - Calculated formation energy: -0.84 eV/atom
data_DyHo5Bi6
_cell_length_a 7.727
_cell_length_b 13.381
_cell_length_c 7.724
_cell_angle_alpha 90.00
_cell_angle_beta 109.47
_cell_angle_gamma 90.00
_symmetry_space_group_name_H-M 'C 1 2/m 1'
_symmetry_Int_Tables_number 12
_symmetry_space_group_name_Hall '-C 2y'
loop_
_atom_site_label
_atom_site_type_symbol
_atom_site_fract_x
_atom_site_fract_y
_atom_site_fract_z
Dy1 Dy 0.000 0.000 0.000
Ho1 Ho 0.000 0.166 0.500
Ho2 Ho 0.000 0.333 0.000
Ho3 Ho 0.000 0.500 0.500
Bi1 Bi 0.249 0.333 0.750
Bi2 Bi 0.249 0.500 0.250

---

# 7
# Dy2Ho5Bi4 | Alexandria via LeMat-Bulk | PBE | optimized geometry
# - Calculated formation energy: -0.21 eV/atom
data_Dy2Ho5Bi4
_cell_length_a 25.022
_cell_length_b 3.487
_cell_length_c 8.105
_cell_angle_alpha 90.00
_cell_angle_beta 91.50
_cell_angle_gamma 90.00
_symmetry_space_group_name_H-M 'C 1 2/m 1'
_symmetry_Int_Tables_number 12
_symmetry_space_group_name_Hall '-C 2y'
loop_
_atom_site_label
_atom_site_type_symbol
_atom_site_fract_x
_atom_site_fract_y
_atom_site_fract_z
Dy1 Dy 0.232 0.000 0.322
Ho1 Ho 0.000 0.000 0.500
Ho2 Ho 0.139 0.500 0.552
Ho3 Ho 0.173 0.500 0.988
Bi1 Bi 0.051 0.500 0.809
Bi2 Bi 0.099 0.000 0.236

---

# 8
# DyHo5Bi4 | Alexandria via LeMat-Bulk | PBE | optimized geometry
# - Calculated formation energy: -0.54 eV/atom
data_DyHo5Bi4
_cell_length_a 19.776
_cell_length_b 4.382
_cell_length_c 7.693
_cell_angle_alpha 90.00
_cell_angle_beta 101.45
_cell_angle_gamma 90.00
_symmetry_space_group_name_H-M 'C 1 2/m 1'
_symmetry_Int_Tables_number 12
_symmetry_space_group_name_Hall '-C 2y'
loop_
_atom_site_label
_atom_site_type_symbol
_atom_site_fract_x
_atom_site_fract_y
_atom_site_fract_z
Dy1 Dy 0.000 0.000 0.000
Ho1 Ho 0.000 0.000 0.500
Ho2 Ho 0.188 0.500 0.086
Ho3 Ho 0.196 0.500 0.612
Bi1 Bi 0.062 0.500 0.779
Bi2 Bi 0.135 0.000 0.325

---

# 9
# Dy4HoBi3 | Alexandria via LeMat-Bulk | PBE | optimized geometry
# - Calculated formation energy: -0.40 eV/atom
data_Dy4HoBi3
_cell_length_a 4.038
_cell_length_b 8.684
_cell_length_c 14.191
_cell_angle_alpha 90.00
_cell_angle_beta 90.00
_cell_angle_gamma 90.00
_symmetry_space_group_name_H-M 'I m m m'
_symmetry_Int_Tables_number 71
_symmetry_space_group_name_Hall '-I 2 2'
loop_
_atom_site_label
_atom_site_type_symbol
_atom_site_fract_x
_atom_site_fract_y
_atom_site_fract_z
Dy1 Dy 0.000 0.205 0.133
Ho1 Ho 0.000 0.500 0.000
Bi1 Bi 0.000 0.000 0.321
Bi2 Bi 0.000 0.500 0.500

---

# 10
# Dy2Ho3Bi2 | Alexandria via LeMat-Bulk | PBE | optimized geometry
# - Calculated formation energy: -0.45 eV/atom
data_Dy2Ho3Bi2
_cell_length_a 12.134
_cell_length_b 4.314
_cell_length_c 8.564
_cell_angle_alpha 90.00
_cell_angle_beta 108.01
_cell_angle_gamma 90.00
_symmetry_space_group_name_H-M 'C 1 2/m 1'
_symmetry_Int_Tables_number 12
_symmetry_space_group_name_Hall '-C 2y'
loop_
_atom_site_label
_atom_site_type_symbol
_atom_site_fract_x
_atom_site_fract_y
_atom_site_fract_z
Dy1 Dy 0.122 0.000 0.269
Ho1 Ho 0.000 0.500 0.500
Ho2 Ho 0.126 0.500 0.944
Bi1 Bi 0.177 0.000 0.688

---

# 11
# Dy2HoBi | Alexandria via LeMat-Bulk | PBE | optimized geometry
# - Calculated formation energy: -0.35 eV/atom
data_Dy2HoBi
_cell_length_a 4.188
_cell_length_b 4.188
_cell_length_c 6.777
_cell_angle_alpha 90.00
_cell_angle_beta 90.00
_cell_angle_gamma 90.00
_symmetry_space_group_name_H-M 'P 4/m m m'
_symmetry_Int_Tables_number 123
_symmetry_space_group_name_Hall '-P 4 2'
loop_
_atom_site_label
_atom_site_type_symbol
_atom_site_fract_x
_atom_site_fract_y
_atom_site_fract_z
Dy1 Dy 0.000 0.000 0.240
Ho1 Ho 0.500 0.500 0.500
Bi1 Bi 0.500 0.500 0.000

---

# 12
# Dy4Ho3Bi8 | Alexandria via LeMat-Bulk | PBE | optimized geometry
# - Calculated formation energy: -0.67 eV/atom
data_Dy4Ho3Bi8
_cell_length_a 12.573
_cell_length_b 12.574
_cell_length_c 8.887
_cell_angle_alpha 90.00
_cell_angle_beta 134.97
_cell_angle_gamma 90.00
_symmetry_space_group_name_H-M 'C 1 2/m 1'
_symmetry_Int_Tables_number 12
_symmetry_space_group_name_Hall '-C 2y'
loop_
_atom_site_label
_atom_site_type_symbol
_atom_site_fract_x
_atom_site_fract_y
_atom_site_fract_z
Dy1 Dy 0.000 0.000 0.000
Dy2 Dy 0.000 0.500 0.500
Dy3 Dy 0.250 0.250 0.000
Ho1 Ho 0.000 0.500 0.000
Ho2 Ho 0.250 0.250 0.500
Bi1 Bi 0.000 0.245 0.500
Bi2 Bi 0.000 0.250 0.000
Bi3 Bi 0.245 0.000 0.501
Bi4 Bi 0.245 0.000 0.989